Entry 1:
DFT (GGA-PBE) results for an optimized crystal structure of Dy11Y9Th4.

a = 16.8228 Å, b = 25.2429 Å, c = 3.6982 Å
α = 90.00°, β = 90.00°, γ = 90.00°
With the nearest neighbours (Å) after each atom.
Space group Cmmm (No. 65)
Inequivalent atoms, fractional coordinates:
Dy 0.0000 0.0000 0.0000 [2 per cell]  8 Y 3.51, 2 Dy 3.70
Dy 0.0000 0.1581 0.0000 [4 per cell]  8 Y 3.66-3.67, 5 Dy 3.70-3.99
Dy 0.0000 0.3643 0.0000 [4 per cell]  4 Th 3.31, 4 Y 3.59, 2 Dy 3.70
Dy 0.2129 0.5000 0.0000 [4 per cell]  4 Th 3.30, 4 Y 3.61
Dy 0.2283 0.1811 0.0000 [8 per cell]  2 Th 3.37, 6 Y 3.50-3.69, 3 Dy 3.55-3.70
Y 0.0000 0.5000 0.5000 [2 per cell]  4 Th 3.65, 2 Y 3.70, 8 Dy 3.89-4.03
Y 0.1017 0.2632 0.5000 [8 per cell]  3 Y 3.42-3.70, 8 Dy 3.50-3.69, 1 Th 3.55
Y 0.1391 0.0731 0.5000 [8 per cell]  8 Dy 3.51-3.67, 1 Th 3.54, 3 Y 3.69-3.70
Th 0.1550 0.3991 0.5000 [8 per cell]  6 Dy 3.30-3.37, 3 Y 3.54-3.65

Properties
Its total energy is -5.67 eV/atom.

---

Entry 2:
DFT (GGA-PBE) results for an optimized crystal structure of La3PmPd12.

a = 4.2177 Å, b = 4.2177 Å, c = 16.8945 Å
α = 90.00°, β = 90.00°, γ = 90.00°
With the nearest neighbours (Å) after each atom.
Space group P4/mmm (No. 123)
Inequivalent atoms, fractional coordinates:
La 0.0000 0.0000 0.0000 [1 per cell]  12 Pd 2.98-2.99
La 0.0000 0.0000 0.2521 [2 per cell]  12 Pd 2.98-3.00
Pm 0.0000 0.0000 0.5000 [1 per cell]  12 Pd 2.96-2.98
Pd 0.0000 0.5000 0.1256 [4 per cell]  8 Pd 2.98-2.99, 4 La 2.99-3.00
Pd 0.0000 0.5000 0.3769 [4 per cell]  2 Pm 2.96, 8 Pd 2.96-3.00, 2 La 2.98
Pd 0.5000 0.5000 0.0000 [1 per cell]  4 La 2.98, 8 Pd 2.99
Pd 0.5000 0.5000 0.2510 [2 per cell]  4 La 2.98, 8 Pd 2.99-3.00
Pd 0.5000 0.5000 0.5000 [1 per cell]  8 Pd 2.96, 4 Pm 2.98

Properties
Its total energy is -5.91 eV/atom.